The following is a DFT calculation (meta-GGA SCAN) of a PBEsol-optimized structure of Ca2ScOs.

Cell and atoms, written as extended XYZ:
```
4
Lattice="3.195 0.000 0.000 0.000 3.195 0.000 0.000 0.000 9.671" Properties=species:S:1:pos:R:3 pbc="T T T"
Sc 1.597 1.597 4.836
Ca 0.000 0.000 7.848
Ca 0.000 0.000 1.823
Os 1.597 1.597 0.000
```

The total magnetization comes out at 0.62 μB/cell. The calculation puts the total energy at -25.86 eV per atom.